# V2HgSe | the Alexandria database | PBE | relaxed
data_V2HgSe
_space_group_name_H-M_alt 'P 1'
_space_group_IT_number 1
_space_group_name_Hall 'P 1'
_cell_length_a 6.387
_cell_length_b 6.387
_cell_length_c 6.387
_cell_angle_alpha 90.00
_cell_angle_beta 90.00
_cell_angle_gamma 90.00
loop_
_atom_site_label
_atom_site_type_symbol
_atom_site_fract_x
_atom_site_fract_y
_atom_site_fract_z
V1 V 0.250 0.250 0.250
V2 V 0.250 0.250 0.750
V3 V 0.250 0.750 0.250
V4 V 0.250 0.750 0.750
V5 V 0.750 0.250 0.250
V6 V 0.750 0.250 0.750
V7 V 0.750 0.750 0.250
V8 V 0.750 0.750 0.750
Hg1 Hg 0.000 0.000 0.000
Hg2 Hg 0.000 0.500 0.500
Hg3 Hg 0.500 0.000 0.500
Hg4 Hg 0.500 0.500 0.000
Se1 Se 0.000 0.000 0.500
Se2 Se 0.000 0.500 0.000
Se3 Se 0.500 0.000 0.000
Se4 Se 0.500 0.500 0.500
# size of the total moment	1.30	μB per formula unit
# excess energy over the best structure of this formula in the dataset	0	meV per atom
# formation energy without anion corrections	1.4	eV per formula unit